(1)
Below is a relaxed LiTm2Mg6 crystal, with properties calculated at the PBE level.

Cell: 15.5243 8.9614 3.1939 Å, 90.00 90.49 90.00°
Space group C2/m (No. 12)
Symmetry-distinct sites (fractional):
Li (0.0000, 0.0000, 0.0000) (multiplicity 2)
Tm (0.1665, 0.5000, 0.9999) (multiplicity 4)
Mg (0.0000, 0.3304, 0.5000) (multiplicity 4)
Mg (0.1656, 0.1654, 0.4878) (multiplicity 8)

Output
Energy of formation from the pure elements, kJ/mol of atoms: -2.1
Calculated total energy, eV per atom: -2.291
Spin magnetization, μB per atom: 0.000
Calculated density, g/cm3: 3.7

***

(2)
Below is a relaxed BaMn2CoS8 crystal, with properties calculated at the PBE level.

Cell: 5.7822 5.7822 25.3368 Å, 90.00 90.00 120.00°
Space group R-3 (No. 148, hexagonal axes)
Symmetry-distinct sites (fractional):
Ba (0.0000, 0.0000, 0.0000) (multiplicity 3)
Mn (0.0000, 0.0000, 0.2472) (multiplicity 6)
Co (0.0000, 0.0000, 0.5000) (multiplicity 3)
S (0.0000, 0.0000, 0.3287) (multiplicity 6)
S (0.0014, 0.6616, 0.8822) (multiplicity 18)

Output
Calculated total energy, eV per atom: -5.553
Formation energy without anion corrections, kcal/mol of atoms: -12.0
Spin magnetization, μB per atom: 0.074
Calculated density, g/cm3: 3.8

***

(3)
Below is a relaxed Pu2MgTi crystal, with properties calculated at the PBE level.

Cell: 4.2989 4.2989 4.7429 Å, 90.00 90.00 90.00°
Space group P4/mmm (No. 123)
Symmetry-distinct sites (fractional):
Pu (0.0000, 0.5000, 0.0000) (multiplicity 2)
Mg (0.0000, 0.0000, 0.5000) (multiplicity 1)
Ti (0.5000, 0.5000, 0.5000) (multiplicity 1)

Output
Energy of formation from the pure elements, kJ/mol of atoms: 24.6
Calculated total energy, eV per atom: -9.283
Spin magnetization, μB per atom: 2.570
Calculated density, g/cm3: 10.6

***

(4)
Below is a relaxed Sr5Hg2Pt crystal, with properties calculated at the PBE level.

Cell: 18.7112 7.6349 8.5857 Å, 90.00 97.24 90.00°
Space group C2/c (No. 15)
Symmetry-distinct sites (fractional):
Sr (0.0000, 0.0804, 0.2500) (multiplicity 4)
Sr (0.0972, 0.3811, 0.9287) (multiplicity 8)
Sr (0.2187, 0.0785, 0.3057) (multiplicity 8)
Hg (0.1011, 0.2067, 0.5733) (multiplicity 8)
Pt (0.2500, 0.2500, 0.0000) (multiplicity 4)

Output
Energy of formation from the pure elements, kJ/mol of atoms: -50.0
Calculated total energy, eV per atom: -2.400
Spin magnetization, μB per atom: 0.000
Calculated density, g/cm3: 5.6

***

(5)
Below is a relaxed Cd2PbI2 crystal, with properties calculated at the PBE level.

Cell: 4.1113 4.1113 20.8181 Å, 90.00 90.00 90.00°
Space group I4/mmm (No. 139)
Symmetry-distinct sites (fractional):
Cd (0.0000, 0.5000, 0.2500) (multiplicity 4)
Pb (0.0000, 0.0000, 0.0000) (multiplicity 2)
I (0.0000, 0.0000, 0.4076) (multiplicity 4)

Output
Calculated total energy, eV per atom: -1.904
Formation energy without anion corrections, kcal/mol of atoms: -4.1
Spin magnetization, μB per atom: 0.000
Calculated density, g/cm3: 6.5

***

(6)
Below is a relaxed ZrSi2Br crystal, with properties calculated at the PBE level.

Cell: 8.6578 8.6578 5.0763 Å, 90.00 90.00 90.00°
Space group I-42d (No. 122)
Symmetry-distinct sites (fractional):
Zr (0.0000, 0.0000, 0.0000) (multiplicity 4)
Si (0.1901, 0.7500, 0.1250) (multiplicity 8)
Br (0.0000, 0.0000, 0.5000) (multiplicity 4)

Output
Calculated total energy, eV per atom: -4.973
Formation energy without anion corrections, kcal/mol of atoms: 6.8
Spin magnetization, μB per atom: 0.000
Calculated density, g/cm3: 4.0

***

(7)
Below is a relaxed Mg3Ni crystal, with properties calculated at the PBE level.

Cell: 3.0544 3.0544 9.2158 Å, 90.00 90.00 120.00°
Space group P-6m2 (No. 187)
Symmetry-distinct sites (fractional):
Mg (0.0000, 0.0000, 0.0000) (multiplicity 1)
Mg (0.3333, 0.6667, 0.2909) (multiplicity 2)
Ni (0.0000, 0.0000, 0.5000) (multiplicity 1)

Output
Energy of formation from the pure elements, kJ/mol of atoms: 2.4
Calculated total energy, eV per atom: -2.617
Spin magnetization, μB per atom: 0.000
Calculated density, g/cm3: 2.9

***

(8)
Below is a relaxed Mn2PRh crystal, with properties calculated at the PBE level.

Cell: 4.9758 7.0434 2.9737 Å, 90.00 90.00 90.00°
Space group Cmmm (No. 65)
Symmetry-distinct sites (fractional):
Mn (0.2500, 0.2500, 0.0000) (multiplicity 4)
P (0.0000, 0.0000, 0.5000) (multiplicity 2)
Rh (0.0000, 0.5000, 0.5000) (multiplicity 2)

Output
Energy of formation from the pure elements, kJ/mol of atoms: -14.9
Calculated total energy, eV per atom: -7.929
Spin magnetization, μB per atom: 1.449
Calculated density, g/cm3: 7.8